Pr2Dy3In | GGA-PBE | relaxed

```
data_Pr2Dy3In
_chemical_formula_sum 'Pr4 Dy6 In2'
_symmetry_space_group_name_H-M 'C m m m'
_symmetry_Int_Tables_number 65
_symmetry_space_group_name_Hall '-C 2 2'
_cell_length_a 4.9164
_cell_length_b 15.3136
_cell_length_c 4.9582
_cell_angle_alpha 90.00
_cell_angle_beta 90.00
_cell_angle_gamma 90.00
loop_
_atom_site_label
_atom_site_type_symbol
_atom_site_fract_x
_atom_site_fract_y
_atom_site_fract_z
Pr1 Pr 0.0000 0.1622 0.0000
Dy1 Dy 0.0000 0.0000 0.5000
Dy2 Dy 0.0000 0.3370 0.5000
In1 In 0.0000 0.5000 0.0000
```

Results
**N(E_F)**: 7.3 states/eV/f.u.
**Distance to the lowest polymorph of the same formula**: 0.0 meV/atom
**Volume**: 31.1 Å³ per atom
**Energy of formation from the pure elements**: -0.143 eV/atom
**Total moment**: 0.00 Bohr magnetons per cell